Record 1
# MgIrRu2

An optimized crystal structure of MgIrRu2 (GGA-PBE, Alexandria via LeMat-Bulk).

Cell: 2.764 3.837 5.534 Å, 90.00 90.00 90.00°
Space group Pmm2 (No. 25)
Unique sites:
Mg: 0.000 0.000 0.000 (multiplicity 1)
Ir: 0.500 0.500 0.752 (multiplicity 1)
Ru: 0.000 0.000 0.497 (multiplicity 1)
Ru: 0.500 0.500 0.267 (multiplicity 1)

Summary:
- Total DFT energy (no corrections): -7.21 eV per atom
- Formation enthalpy at 0 K: 0.04 eV/atom


Record 2
# K2RbInAs2

An optimized crystal structure of K2RbInAs2 (GGA-PBE, Alexandria via LeMat-Bulk).

Cell: 8.379 14.622 7.160 Å, 90.00 90.00 90.00°
Space group Ibam (No. 72)
Unique sites:
K: 0.178 0.186 0.000 (multiplicity 8)
Rb: 0.000 0.500 0.250 (multiplicity 4)
In: 0.000 0.000 0.250 (multiplicity 4)
As: 0.185 0.098 0.500 (multiplicity 8)

Summary:
- Total DFT energy (no corrections): -2.97 eV per atom
- Formation enthalpy at 0 K: -0.44 eV/atom


Record 3
# ErTmAs

An optimized crystal structure of ErTmAs (GGA-PBE, Alexandria via LeMat-Bulk).

Cell: 3.9331 3.9331 6.3165 Å, 90.00 90.00 120.00°
Space group P3m1 (No. 156)
Unique sites:
Er: 0.0000 0.0000 0.0000 (multiplicity 1)
Tm: 0.6667 0.3333 0.5235 (multiplicity 1)
As: 0.3333 0.6667 0.2629 (multiplicity 1)

Summary:
- Total DFT energy (no corrections): -5.40 eV per atom
- Formation enthalpy at 0 K: -0.83 eV/atom
- Relative energy among the computed polymorphs: 0.000 eV per atom


Record 4
# TaRu2Pb

An optimized crystal structure of TaRu2Pb (GGA-PBE, Alexandria via LeMat-Bulk).

Cell: 3.548 3.548 5.797 Å, 90.00 90.00 90.00°
Space group P4mm (No. 99)
Unique sites:
Ta: 0.000 0.000 0.000 (multiplicity 1)
Ru: 0.000 0.000 0.568 (multiplicity 1)
Ru: 0.500 0.500 0.870 (multiplicity 1)
Pb: 0.500 0.500 0.357 (multiplicity 1)

Summary:
- Total DFT energy (no corrections): -8.19 eV per atom
- Formation enthalpy at 0 K: 0.34 eV/atom


Which formula does entry 1 have? MgIrRu2


Which value of total DFT energy (no corrections) does entry 3 give? -5.40 eV per atom